{"formula": "HfNb2Sb2", "functional": "PBE-GGA", "state": "optimized geometry", "lattice_angstrom": [[3.8671, 0.0000, 0.0000], [0.0000, 3.8671, 0.0000], [0.0000, 0.0000, 14.7702]], "species": ["Hf", "Hf", "Nb", "Nb", "Nb", "Nb", "Sb", "Sb", "Sb", "Sb"], "frac_coords": [[0.0000, 0.0000, 0.0000], [0.5000, 0.5000, 0.5000], [0.0000, 0.5000, 0.2500], [0.0000, 0.5000, 0.7500], [0.5000, 0.0000, 0.2500], [0.5000, 0.0000, 0.7500], [0.0000, 0.0000, 0.3951], [0.0000, 0.0000, 0.6049], [0.5000, 0.5000, 0.1049], [0.5000, 0.5000, 0.8951]], "energy_ev_per_atom": -7.587, "m_tot_mub_per_cell": 0.01}